# 1
# HgH4PtRh, relaxed, DFT PBE
data_HgH4PtRh
_symmetry_space_group_name_H-M 'C 1 2/m 1'
_symmetry_Int_Tables_number 12
_symmetry_space_group_name_Hall '-C 2y'
_cell_length_a 8.977
_cell_length_b 5.470
_cell_length_c 6.083
_cell_angle_alpha 90.00
_cell_angle_beta 110.73
_cell_angle_gamma 90.00
loop_
_atom_site_label
_atom_site_type_symbol
_atom_site_fract_x
_atom_site_fract_y
_atom_site_fract_z
Hg1 Hg 0.008 0.000 0.266
H1 H 0.006 0.500 0.779
H2 H 0.128 0.500 0.575
H3 H 0.193 0.305 0.108
Pt1 Pt 0.199 0.500 0.353
Rh1 Rh 0.221 0.500 0.879
# - ρ: 11950 kg/m³
# - V: 279.4 Å³/cell
# - Uncorrected energy: -106.8 eV/cell

***

# 2
# HgHPtRh2, relaxed, DFT PBE
data_HgHPtRh2
_symmetry_space_group_name_H-M 'P 4/m m m'
_symmetry_Int_Tables_number 123
_symmetry_space_group_name_Hall '-P 4 2'
_cell_length_a 3.943
_cell_length_b 3.943
_cell_length_c 4.320
_cell_angle_alpha 90.00
_cell_angle_beta 90.00
_cell_angle_gamma 90.00
loop_
_atom_site_label
_atom_site_type_symbol
_atom_site_fract_x
_atom_site_fract_y
_atom_site_fract_z
Hg1 Hg 0.000 0.000 0.000
H1 H 0.000 0.000 0.500
Pt1 Pt 0.500 0.500 0.000
Rh1 Rh 0.000 0.500 0.500
# - ρ: 14896 kg/m³
# - V: 67.2 Å³/cell
# - Polymorph energy (0 for the lowest one): 118 meV/atom

***

# 3
# Sn2HgHPt, relaxed, DFT PBE
data_Sn2HgHPt
_symmetry_space_group_name_H-M 'P 4/m m m'
_symmetry_Int_Tables_number 123
_symmetry_space_group_name_Hall '-P 4 2'
_cell_length_a 5.480
_cell_length_b 5.480
_cell_length_c 3.417
_cell_angle_alpha 90.00
_cell_angle_beta 90.00
_cell_angle_gamma 90.00
loop_
_atom_site_label
_atom_site_type_symbol
_atom_site_fract_x
_atom_site_fract_y
_atom_site_fract_z
Sn1 Sn 0.000 0.500 0.000
Hg1 Hg 0.000 0.000 0.500
H1 H 0.500 0.500 0.500
Pt1 Pt 0.500 0.500 0.000
# - ρ: 10263 kg/m³
# - V: 102.6 Å³/cell
# - Uncorrected energy: -18.0 eV/cell

***

# 4
# Ti2HgHPt, relaxed, DFT PBE
data_Ti2HgHPt
_symmetry_space_group_name_H-M 'P 4/m m m'
_symmetry_Int_Tables_number 123
_symmetry_space_group_name_Hall '-P 4 2'
_cell_length_a 4.213
_cell_length_b 4.213
_cell_length_c 3.960
_cell_angle_alpha 90.00
_cell_angle_beta 90.00
_cell_angle_gamma 90.00
loop_
_atom_site_label
_atom_site_type_symbol
_atom_site_fract_x
_atom_site_fract_y
_atom_site_fract_z
Ti1 Ti 0.000 0.500 0.000
Hg1 Hg 0.000 0.000 0.500
H1 H 0.500 0.500 0.000
Pt1 Pt 0.500 0.500 0.500
# - ρ: 11635 kg/m³
# - V: 70.3 Å³/cell
# - Uncorrected energy: -27.2 eV/cell

***

# 5
# Tl2HgHPt, relaxed, DFT PBE
data_Tl2HgHPt
_symmetry_space_group_name_H-M 'P 4/m m m'
_symmetry_Int_Tables_number 123
_symmetry_space_group_name_Hall '-P 4 2'
_cell_length_a 5.516
_cell_length_b 5.516
_cell_length_c 3.475
_cell_angle_alpha 90.00
_cell_angle_beta 90.00
_cell_angle_gamma 90.00
loop_
_atom_site_label
_atom_site_type_symbol
_atom_site_fract_x
_atom_site_fract_y
_atom_site_fract_z
Tl1 Tl 0.000 0.500 0.000
Hg1 Hg 0.000 0.000 0.500
H1 H 0.500 0.500 0.000
Pt1 Pt 0.500 0.500 0.500
# - ρ: 12652 kg/m³
# - V: 105.7 Å³/cell
# - Polymorph energy (0 for the lowest one): 68 meV/atom

***

# 6
# Tl2HgHPt, relaxed, DFT PBE
data_Tl2HgHPt
_symmetry_space_group_name_H-M 'P 4/m m m'
_symmetry_Int_Tables_number 123
_symmetry_space_group_name_Hall '-P 4 2'
_cell_length_a 5.604
_cell_length_b 5.604
_cell_length_c 3.511
_cell_angle_alpha 90.00
_cell_angle_beta 90.00
_cell_angle_gamma 90.00
loop_
_atom_site_label
_atom_site_type_symbol
_atom_site_fract_x
_atom_site_fract_y
_atom_site_fract_z
Tl1 Tl 0.000 0.500 0.000
Hg1 Hg 0.000 0.000 0.500
H1 H 0.500 0.500 0.500
Pt1 Pt 0.500 0.500 0.000
# - ρ: 12133 kg/m³
# - V: 110.2 Å³/cell
# - Polymorph energy (0 for the lowest one): 0 meV/atom

***

# 7
# Zr2HgHPt, relaxed, DFT PBE
data_Zr2HgHPt
_symmetry_space_group_name_H-M 'P 4/m m m'
_symmetry_Int_Tables_number 123
_symmetry_space_group_name_Hall '-P 4 2'
_cell_length_a 4.483
_cell_length_b 4.483
_cell_length_c 4.067
_cell_angle_alpha 90.00
_cell_angle_beta 90.00
_cell_angle_gamma 90.00
loop_
_atom_site_label
_atom_site_type_symbol
_atom_site_fract_x
_atom_site_fract_y
_atom_site_fract_z
Zr1 Zr 0.000 0.500 0.000
Hg1 Hg 0.000 0.000 0.500
H1 H 0.500 0.500 0.000
Pt1 Pt 0.500 0.500 0.500
# - ρ: 11766 kg/m³
# - V: 81.7 Å³/cell
# - Uncorrected energy: -29.0 eV/cell

***

# 8
# Pu4Hg2H, relaxed, DFT PBE
data_Pu4Hg2H
_symmetry_space_group_name_H-M 'I 4/m m m'
_symmetry_Int_Tables_number 139
_symmetry_space_group_name_Hall '-I 4 2'
_cell_length_a 4.645
_cell_length_b 4.645
_cell_length_c 16.239
_cell_angle_alpha 90.00
_cell_angle_beta 90.00
_cell_angle_gamma 90.00
loop_
_atom_site_label
_atom_site_type_symbol
_atom_site_fract_x
_atom_site_fract_y
_atom_site_fract_z
Pu1 Pu 0.000 0.000 0.168
Pu2 Pu 0.000 0.500 0.000
Hg1 Hg 0.000 0.000 0.361
H1 H 0.000 0.000 0.000
# - ρ: 13062 kg/m³
# - V: 350.4 Å³/cell
# - Uncorrected energy: -122.6 eV/cell

***

# 9
# Pu2HgH, relaxed, DFT PBE
data_Pu2HgH
_symmetry_space_group_name_H-M 'R -3 m'
_symmetry_Int_Tables_number 166
_symmetry_space_group_name_Hall '-R 3 2"'
_cell_length_a 3.7374
_cell_length_b 3.7374
_cell_length_c 17.3153
_cell_angle_alpha 90.00
_cell_angle_beta 90.00
_cell_angle_gamma 120.00
loop_
_atom_site_label
_atom_site_type_symbol
_atom_site_fract_x
_atom_site_fract_y
_atom_site_fract_z
Pu1 Pu 0.0000 0.0000 0.1973
Hg1 Hg 0.0000 0.0000 0.0000
H1 H 0.0000 0.0000 0.5000
# - ρ: 16401 kg/m³
# - V: 209.5 Å³/cell
# - Polymorph energy (0 for the lowest one): 237 meV/atom

***

# 10
# Pu2HgH2, relaxed, DFT PBE
data_Pu2HgH2
_symmetry_space_group_name_H-M 'I 4/m m m'
_symmetry_Int_Tables_number 139
_symmetry_space_group_name_Hall '-I 4 2'
_cell_length_a 3.779
_cell_length_b 3.779
_cell_length_c 12.564
_cell_angle_alpha 90.00
_cell_angle_beta 90.00
_cell_angle_gamma 90.00
loop_
_atom_site_label
_atom_site_type_symbol
_atom_site_fract_x
_atom_site_fract_y
_atom_site_fract_z
Pu1 Pu 0.000 0.000 0.152
Hg1 Hg 0.000 0.000 0.500
H1 H 0.000 0.500 0.250
# - ρ: 12782 kg/m³
# - V: 179.4 Å³/cell
# - Uncorrected energy: -73.9 eV/cell

***

# 11
# Pu3Hg5H12, relaxed, DFT PBE
data_Pu3Hg5H12
_symmetry_space_group_name_H-M 'I a -3 d'
_symmetry_Int_Tables_number 230
_symmetry_space_group_name_Hall '-I 4bd 2c 3'
_cell_length_a 12.806
_cell_length_b 12.806
_cell_length_c 12.806
_cell_angle_alpha 90.00
_cell_angle_beta 90.00
_cell_angle_gamma 90.00
loop_
_atom_site_label
_atom_site_type_symbol
_atom_site_fract_x
_atom_site_fract_y
_atom_site_fract_z
Pu1 Pu 0.000 0.250 0.125
Hg1 Hg 0.000 0.000 0.000
Hg2 Hg 0.000 0.250 0.375
H1 H 0.017 0.078 0.677
# - ρ: 11052 kg/m³
# - V: 2099.9 Å³/cell
# - Uncorrected energy: -659.3 eV/cell

***

# 12
# Pu2HgH, relaxed, DFT PBE
data_Pu2HgH
_symmetry_space_group_name_H-M 'P 4/m m m'
_symmetry_Int_Tables_number 123
_symmetry_space_group_name_Hall '-P 4 2'
_cell_length_a 3.128
_cell_length_b 3.128
_cell_length_c 8.013
_cell_angle_alpha 90.00
_cell_angle_beta 90.00
_cell_angle_gamma 90.00
loop_
_atom_site_label
_atom_site_type_symbol
_atom_site_fract_x
_atom_site_fract_y
_atom_site_fract_z
Pu1 Pu 0.000 0.000 0.196
Hg1 Hg 0.500 0.500 0.500
H1 H 0.500 0.500 0.000
# - ρ: 14602 kg/m³
# - V: 78.4 Å³/cell
# - Polymorph energy (0 for the lowest one): 11 meV/atom